A) A plane-wave DFT calculation with GGA-PBE was carried out for an optimized crystal structure of LiScCl2.

Unit cell a=3.4853 b=3.4853 c=25.9472 alpha=90.00 beta=90.00 gamma=120.00
Space group R-3m (No. 166, hexagonal axes)
Asymmetric unit:
Li 0.0000 0.0000 0.0000 [3 per cell]
Sc 0.0000 0.0000 0.5000 [3 per cell]
Cl 0.0000 0.0000 0.1031 [6 per cell]

Computed properties:
- total magnetization (μB/f.u.) = 0.0



B) A plane-wave DFT calculation with GGA-PBE was carried out for an optimized crystal structure of LiScCl2.

Unit cell a=6.971 b=6.971 c=6.971 alpha=90.00 beta=90.00 gamma=90.00
Space group F-43m (No. 216)
Asymmetric unit:
Li 0.000 0.000 0.000 [4 per cell]
Sc 0.250 0.250 0.750 [4 per cell]
Cl 0.000 0.000 0.500 [4 per cell]
Cl 0.250 0.250 0.250 [4 per cell]

Computed properties:
- total magnetization (μB/f.u.) = 1.9



Most stable structure: A)